! TbUVO6, optimized geometry, DFT PBE with a Hubbard U; values from VASP
! M_tot in μB/cell: 4.0
! Total DFT energy (no corrections) in eV/atom: -8.68
&SYSTEM
  ibrav = 0, nat = 18, ntyp = 4
/
ATOMIC_SPECIES
Tb 158.93 Tb.upf
U 238.03 U.upf
V 50.94 V.upf
O 16.00 O.upf
CELL_PARAMETERS angstrom
5.6381 0.0000 0.0000
-2.8191 4.8828 0.0000
0.0000 0.0000 8.7570
ATOMIC_POSITIONS angstrom
Tb 0.0000 3.2552 2.1893
Tb 2.8191 1.6276 6.5678
U 0.0000 3.2552 6.5678
U 2.8191 1.6276 2.1893
V 0.0000 0.0000 0.0000
V 0.0000 0.0000 4.3785
O -0.7973 1.6438 5.4793
O -1.7941 3.3704 7.6562
O 0.7973 1.6438 7.6562
O -0.9968 4.7513 5.4793
O 1.8223 0.1314 1.1008
O 1.0250 1.5124 3.2777
O 1.7941 3.3704 5.4793
O 0.9968 4.7513 7.6562
O 3.8159 0.1314 3.2777
O 2.0218 3.2389 1.1008
O 4.6132 1.5124 1.1008
O 3.6164 3.2389 3.2777